Record 1
# PBE Na2GaHgF8, optimized geometry
data_Na2GaHgF8
_symmetry_space_group_name_H-M 'P 1 2/m 1'
_symmetry_Int_Tables_number 10
_cell_length_a 5.0351
_cell_length_b 6.8054
_cell_length_c 5.0670
_cell_angle_alpha 90.00
_cell_angle_beta 93.11
_cell_angle_gamma 90.00
loop_
_symmetry_equiv_pos_as_xyz
'x,y,z'
'-x,-y,-z'
'-x,y,-z'
'x,-y,z'
loop_
_atom_site_label
_atom_site_type_symbol
_atom_site_fract_x
_atom_site_fract_y
_atom_site_fract_z
Na1 Na 0.0000 0.2297 0.0000
Ga1 Ga 0.5000 0.0000 0.5000
Hg1 Hg 0.5000 0.5000 0.5000
F1 F 0.2054 0.5000 0.2028
F2 F 0.2338 0.0000 0.2318
F3 F 0.3183 0.2182 0.6782
# - DOS(E_F) (states/eV per atom) = 0.54
# - uncorrected formation energy (eV per formula unit) = -26.4
# - electronic total energy (eV/atom) = -3.9448

Record 2
# PBE GaHgOF2, optimized geometry
data_GaHgOF2
_symmetry_space_group_name_H-M 'P 4/m m m'
_symmetry_Int_Tables_number 123
_symmetry_space_group_name_Hall '-P 4 2'
_cell_length_a 4.2031
_cell_length_b 4.2031
_cell_length_c 3.7019
_cell_angle_alpha 90.00
_cell_angle_beta 90.00
_cell_angle_gamma 90.00
loop_
_atom_site_label
_atom_site_type_symbol
_atom_site_fract_x
_atom_site_fract_y
_atom_site_fract_z
Ga1 Ga 0.0000 0.0000 0.0000
Hg1 Hg 0.5000 0.5000 0.5000
O1 O 0.0000 0.0000 0.5000
F1 F 0.0000 0.5000 0.0000
# - DOS(E_F) (states/eV per atom) = 0.59
# - uncorrected formation energy (eV per formula unit) = -7.3
# - electronic total energy (eV/atom) = -3.8694
# - offset from the most stable computed form (eV/atom) = 0.000

Record 3
# PBE GaHgOF2, optimized geometry
data_GaHgOF2
_symmetry_space_group_name_H-M 'P 4/m m m'
_symmetry_Int_Tables_number 123
_symmetry_space_group_name_Hall '-P 4 2'
_cell_length_a 4.6187
_cell_length_b 4.6187
_cell_length_c 4.1431
_cell_angle_alpha 90.00
_cell_angle_beta 90.00
_cell_angle_gamma 90.00
loop_
_atom_site_label
_atom_site_type_symbol
_atom_site_fract_x
_atom_site_fract_y
_atom_site_fract_z
Ga1 Ga 0.0000 0.0000 0.0000
Hg1 Hg 0.5000 0.5000 0.5000
O1 O 0.5000 0.5000 0.0000
F1 F 0.0000 0.5000 0.5000
# - DOS(E_F) (states/eV per atom) = 0.64
# - uncorrected formation energy (eV per formula unit) = -3.8
# - electronic total energy (eV/atom) = -3.1624
# - offset from the most stable computed form (eV/atom) = 0.707